The following is a DFT calculation (PBE) of crystalline K3LiSc at its relaxed geometry.

Lattice parameters (Å, degrees): 7.0798 7.0798 7.0798 90.00 90.00 90.00
Atoms (fractional coordinates):
1 K 0.0000 0.0000 0.5000
2 K 0.0000 0.5000 0.0000
3 K 0.5000 0.0000 0.0000
4 Li 0.5000 0.5000 0.5000
5 Sc 0.0000 0.0000 0.0000

DFT formation energy: 82.71 kJ per mole of atoms
ΔE to the lowest computed polymorph: 122 meV per atom
E: -1.450 eV/atom